[1]
Material: MnNiSe2
Method: DFT, PBEsol
State: optimized geometry

extended XYZ file:
```
4
Lattice="-1.729 1.476 -2.825 -1.748 -3.125 -0.563 -3.996 1.641 3.293" Properties=species:S:1:pos:R:3 pbc="T T T"
Mn -3.579 1.948 0.293
Se -3.760 1.639 2.570
Se -3.407 -0.043 -0.854
Ni -3.587 -0.353 1.423
```

Values from the calculation:
symmetry	Pm, No. 6
distance to the lowest polymorph of the same formula	0	meV/atom
crystal system	monoclinic

[2]
Material: MnSiNi2
Method: DFT, PBEsol
State: optimized geometry

extended XYZ file:
```
4
Lattice="-2.339 0.527 -2.642 0.398 -3.393 -1.029 -1.571 0.509 3.900" Properties=species:S:1:pos:R:3 pbc="T T T"
Si -0.971 -1.433 -1.836
Ni 0.000 0.000 0.000
Ni -2.440 -0.198 -0.289
Mn -1.072 -2.158 0.518
```

Values from the calculation:
symmetry	I-4m2, No. 119
crystal system	tetragonal

[3]
Material: Mn3SiNi
Method: DFT, PBEsol
State: optimized geometry

extended XYZ file:
```
20
Lattice="-5.369 2.622 -0.129 -1.725 -3.303 4.673 1.979 4.235 3.724" Properties=species:S:1:pos:R:3 pbc="T T T"
Si -2.850 0.434 6.419
Si -5.138 2.449 4.138
Si -0.321 0.223 0.519
Si -1.922 4.001 5.461
Ni -4.538 1.888 2.055
Ni -3.513 2.440 5.678
Ni -1.785 -0.870 4.943
Ni -0.395 3.650 3.861
Mn -1.301 1.618 4.826
Mn -1.509 2.403 7.234
Mn -0.108 1.581 2.629
Mn -2.256 1.648 1.272
Mn -0.360 0.197 6.711
Mn -5.181 0.530 5.767
Mn -2.116 5.411 3.384
Mn -3.410 0.628 3.947
Mn -1.633 -0.452 2.560
Mn -2.779 2.958 3.335
Mn -5.834 0.166 3.338
Mn -4.204 4.635 4.608
```

Values from the calculation:
symmetry	P2_13, No. 198
distance to the lowest polymorph of the same formula	0	meV/atom
crystal system	cubic

The records above yield Fermi-level density of states values of 1.869; 2.013; 17.649 states/eV/cell, respectively.
The records above yield DFT total energy values of -6.227; -7.333; -8.454 eV/atom, respectively.